MoCF2: optimized geometry, GGA+U.

Calculated values
energy = -4.90 eV/atom
crystal system = tetragonal
space-group type = I-42d (122)

abc: 3.2069 3.2069 8.1634
angles: 78.67 78.67 90.00
Last column: nearest neighbours and their distance in Å.
Sites, in units of the cell vectors:
C  0.2500  0.7500  0.5000  4 Mo 2.27, 4 F 2.28
F  0.6400  0.1250  0.2500  4 F 2.20-2.34, 2 Mo 2.25, 2 C 2.28
F  0.8750  0.8900  0.7500  4 F 2.20-2.34, 2 Mo 2.25, 2 C 2.28
Mo  0.7500  0.2500  0.5000  4 F 2.25, 4 C 2.27
Mo  0.0000  0.0000  0.0000  4 F 2.25, 4 C 2.27
C  0.5000  0.5000  0.0000  4 Mo 2.27, 4 F 2.28
F  0.3750  0.3600  0.7500  4 F 2.20-2.34, 2 Mo 2.25, 2 C 2.28
F  0.1100  0.6250  0.2500  4 F 2.20-2.34, 2 Mo 2.25, 2 C 2.28